A.
## CrReBr2 (GGA-PBE)

Data for a relaxed structure of CrReBr2.

Values from the calculation:
The calculation puts the density of states at the Fermi level at 2.82 states/eV/f.u. The calculation puts the total magnetization at 3.1 μB per formula unit.

a = 3.160 Å, b = 4.286 Å, c = 14.704 Å
α = 90.00°, β = 90.00°, γ = 90.00°
Space group Immm (No. 71)
Asymmetric unit:
1 Cr 0.000 0.000 0.000
2 Re 0.000 0.000 0.500
3 Br 0.000 0.500 0.141


B.
## CrReBr2 (GGA-PBE)

Data for a relaxed structure of CrReBr2.

Values from the calculation:
The calculation puts the density of states at the Fermi level at 1.82 states/eV/f.u. The calculation puts the total magnetization at 0.0 μB per formula unit.

a = 5.527 Å, b = 5.527 Å, c = 10.979 Å
α = 90.00°, β = 90.00°, γ = 90.00°
Space group I-42d (No. 122)
Asymmetric unit:
1 Cr 0.000 0.000 0.000
2 Re 0.000 0.000 0.500
3 Br 0.235 0.250 0.125


C.
## CrReBr2 (GGA-PBE)

Data for a relaxed structure of CrReBr2.

Values from the calculation:
The calculation puts the density of states at the Fermi level at 4.08 states/eV/f.u. The calculation puts the total magnetization at 2.9 μB per formula unit.

a = 3.1011 Å, b = 3.1011 Å, c = 25.0736 Å
α = 90.00°, β = 90.00°, γ = 120.00°
Space group R-3m (No. 166, hexagonal axes)
Asymmetric unit:
1 Cr 0.0000 0.0000 0.0000
2 Re 0.0000 0.0000 0.5000
3 Br 0.0000 0.0000 0.2532


So which one is most stable? That would be A, about 0.565 eV/atom below the next structure.


A.
## CrReBr2 (GGA-PBE)

Data for a relaxed structure of CrReBr2.

Values from the calculation:
The calculation puts the density of states at the Fermi level at 3.38 states/eV/f.u. The calculation puts the total magnetization at 1.0 μB per formula unit.

a = 3.297 Å, b = 2.995 Å, c = 8.834 Å
α = 90.00°, β = 90.30°, γ = 90.00°
Space group Pm (No. 6)
Asymmetric unit:
1 Cr 0.000 0.000 0.000
2 Re 0.502 0.500 0.150
3 Br 0.505 0.000 0.381
4 Br 0.999 0.500 0.776


B.
## CrReBr2 (GGA-PBE)

Data for a relaxed structure of CrReBr2.

Values from the calculation:
The calculation puts the density of states at the Fermi level at 3.40 states/eV/f.u. The calculation puts the total magnetization at 0.0 μB per formula unit.

a = 3.130 Å, b = 3.159 Å, c = 18.096 Å
α = 90.00°, β = 90.00°, γ = 90.00°
Space group Imm2 (No. 44)
Asymmetric unit:
1 Cr 0.000 0.000 0.000
2 Re 0.000 0.500 0.909
3 Br 0.000 0.000 0.590
4 Br 0.000 0.500 0.308


So which one is most stable? That would be A, about 0.290 eV/atom below the next structure.


A.
## CrReBr2 (GGA-PBE)

Data for a relaxed structure of CrReBr2.

Values from the calculation:
The calculation puts the density of states at the Fermi level at 2.24 states/eV/f.u. The calculation puts the total magnetization at 1.8 μB per formula unit.

a = 6.212 Å, b = 8.765 Å, c = 3.320 Å
α = 90.00°, β = 117.50°, γ = 90.00°
Space group C2/m (No. 12)
Asymmetric unit:
1 Cr 0.000 0.000 0.000
2 Re 0.000 0.500 0.000
3 Br 0.250 0.250 0.000


B.
## CrReBr2 (GGA-PBE)

Data for a relaxed structure of CrReBr2.

Values from the calculation:
The calculation puts the density of states at the Fermi level at 3.21 states/eV/f.u. The calculation puts the total magnetization at 4.8 μB per formula unit.

a = 3.098 Å, b = 5.830 Å, c = 8.848 Å
α = 90.00°, β = 90.00°, γ = 90.00°
Space group Cmmm (No. 65)
Asymmetric unit:
1 Cr 0.000 0.000 0.000
2 Re 0.000 0.000 0.500
3 Br 0.000 0.500 0.266


So which one is most stable? That would be A, about 0.042 eV/atom below the next structure.